# CeYZn2 (SCAN, PBEsol geometry)
# raw total energy = -100.76 eV/cell
# space group = Fm-3m
# N(E_F) = 4.29 states/eV/f.u.
# crystal system = cubic
# ΔH_f (0 K) = -0.3315 eV per atom
data_CeYZn2
_space_group_name_H-M_alt 'P 1'
_space_group_IT_number 1
_space_group_name_Hall 'P 1'
_cell_length_a 5.002
_cell_length_b 5.002
_cell_length_c 5.002
_cell_angle_alpha 60.00
_cell_angle_beta 60.00
_cell_angle_gamma 60.00
loop_
_atom_site_label
_atom_site_fract_x
_atom_site_fract_y
_atom_site_fract_z
Zn1 0.250 0.250 0.250
Zn2 0.750 0.750 0.750
Y1 0.500 0.500 0.500
Ce1 0.000 0.000 0.000

***

# Ba2ScCo (SCAN, PBEsol geometry)
# raw total energy = -107.59 eV/cell
# E above lowest polymorph = 184.9 meV/atom
# space group = I4/mmm
# N(E_F) = 5.68 states/eV/f.u.
# crystal system = tetragonal
# ΔH_f (0 K) = 0.7638 eV per atom
data_Ba2ScCo
_space_group_name_H-M_alt 'P 1'
_space_group_IT_number 1
_space_group_name_Hall 'P 1'
_cell_length_a 4.603
_cell_length_b 4.603
_cell_length_c 6.178
_cell_angle_alpha 111.87
_cell_angle_beta 111.87
_cell_angle_gamma 90.00
loop_
_atom_site_label
_atom_site_fract_x
_atom_site_fract_y
_atom_site_fract_z
Ba1 0.750 0.250 0.500
Ba2 0.250 0.750 0.500
Co1 0.500 0.500 0.000
Sc1 0.000 0.000 0.000

***

# NiSb2Rh (SCAN, PBEsol geometry)
# raw total energy = -125.39 eV/cell
# space group = Amm2
# N(E_F) = 1.98 states/eV/f.u.
# crystal system = orthorhombic
# energy relative to the elements, uncorrected = -0.925 eV/f.u.
data_NiSb2Rh
_space_group_name_H-M_alt 'P 1'
_space_group_IT_number 1
_space_group_name_Hall 'P 1'
_cell_length_a 3.530
_cell_length_b 3.867
_cell_length_c 5.328
_cell_angle_alpha 90.00
_cell_angle_beta 109.35
_cell_angle_gamma 90.00
loop_
_atom_site_label
_atom_site_fract_x
_atom_site_fract_y
_atom_site_fract_z
Ni1 0.847 0.000 0.694
Sb1 0.102 0.000 0.204
Sb2 0.389 0.500 0.777
Rh1 0.668 0.500 0.335

***

# ZrSiRu (SCAN, PBEsol geometry)
# raw total energy = -77.89 eV/cell
# space group = P-6m2
# N(E_F) = 1.81 states/eV/f.u.
# crystal system = hexagonal
# energy relative to the elements, uncorrected = -2.353 eV/f.u.
data_ZrSiRu
_space_group_name_H-M_alt 'P 1'
_space_group_IT_number 1
_space_group_name_Hall 'P 1'
_cell_length_a 3.118
_cell_length_b 4.206
_cell_length_c 4.206
_cell_angle_alpha 120.00
_cell_angle_beta 90.00
_cell_angle_gamma 90.00
loop_
_atom_site_label
_atom_site_fract_x
_atom_site_fract_y
_atom_site_fract_z
Zr1 0.500 0.667 0.333
Si1 0.000 0.333 0.667
Ru1 0.000 0.000 0.000

***

# YMg3Cu3 (SCAN, PBEsol geometry)
# raw total energy = -179.07 eV/cell
# space group = P6_3/m
# N(E_F) = 2.88 states/eV/f.u.
# crystal system = hexagonal
# ΔH_f (0 K) = -0.1675 eV per atom
data_YMg3Cu3
_space_group_name_H-M_alt 'P 1'
_space_group_IT_number 1
_space_group_name_Hall 'P 1'
_cell_length_a 4.389
_cell_length_b 8.131
_cell_length_c 8.131
_cell_angle_alpha 120.00
_cell_angle_beta 90.00
_cell_angle_gamma 90.00
loop_
_atom_site_label
_atom_site_fract_x
_atom_site_fract_y
_atom_site_fract_z
Cu1 0.250 0.463 0.404
Cu2 0.750 0.059 0.463
Cu3 0.250 0.596 0.059
Cu4 0.250 0.941 0.537
Cu5 0.750 0.404 0.941
Cu6 0.750 0.537 0.596
Y1 0.250 0.333 0.667
Y2 0.750 0.667 0.333
Mg1 0.250 0.260 0.030
Mg2 0.750 0.030 0.770
Mg3 0.250 0.970 0.230
Mg4 0.250 0.770 0.740
Mg5 0.750 0.740 0.970
Mg6 0.750 0.230 0.260

***

# InSiAgAs2 (SCAN, PBEsol geometry)
# raw total energy = -108.87 eV/cell
# space group = P4/mmm
# N(E_F) = 3.03 states/eV/f.u.
# crystal system = tetragonal
# energy relative to the elements, uncorrected = 6.285 eV/f.u.
data_InSiAgAs2
_space_group_name_H-M_alt 'P 1'
_space_group_IT_number 1
_space_group_name_Hall 'P 1'
_cell_length_a 4.993
_cell_length_b 5.146
_cell_length_c 5.146
_cell_angle_alpha 90.00
_cell_angle_beta 90.00
_cell_angle_gamma 90.00
loop_
_atom_site_label
_atom_site_fract_x
_atom_site_fract_y
_atom_site_fract_z
Si1 0.500 0.000 0.000
As1 0.000 0.500 0.000
As2 0.000 0.000 0.500
In1 0.000 0.000 0.000
Ag1 0.500 0.500 0.500

***

> What is the raw total energy in the fifth record?

-179.07 eV/cell

***

> Among the records above, which one has the lowest raw total energy?

YMg3Cu3